# Ac2YEr, optimized geometry, DFT GGA-PBE
# Crystal system: tetragonal
# Calculated formation energy (eV/atom): 0.05
# Total DFT energy (no corrections) (eV per formula unit): -19.05
data_Ac2YEr
_space_group_name_H-M_alt 'P 4/m m m'
_space_group_IT_number 123
_space_group_name_Hall '-P 4 2'
_cell_length_a 5.485
_cell_length_b 5.485
_cell_length_c 4.993
_cell_angle_alpha 90.00
_cell_angle_beta 90.00
_cell_angle_gamma 90.00
loop_
_atom_site_label
_atom_site_fract_x
_atom_site_fract_y
_atom_site_fract_z
_atom_site_occupancy
Ac1 0.000 0.500 0.000 1
Y1 0.000 0.000 0.500 1
Er1 0.500 0.500 0.500 1